Entry 1:
# YHoSiPt (PBE-GGA, optimized geometry)
data_YHoSiPt
_cell_length_a 3.989
_cell_length_b 4.183
_cell_length_c 5.695
_cell_angle_alpha 90.00
_cell_angle_beta 110.50
_cell_angle_gamma 90.00
_symmetry_space_group_name_H-M 'P 1'
_symmetry_Int_Tables_number 1
loop_
_symmetry_equiv_pos_as_xyz
'x,y,z'
loop_
_atom_site_label
_atom_site_type_symbol
_atom_site_fract_x
_atom_site_fract_y
_atom_site_fract_z
_atom_site_occupancy
Y1 Y 0.859 0.500 0.717 1
Ho1 Ho 0.141 0.000 0.282 1
Si1 Si 0.576 0.500 0.152 1
Pt1 Pt 0.424 0.000 0.848 1
# Space group ... No. 38
# Density of states at the Fermi level ... 0.814 states/eV/atom
# Uncorrected formation energy ... -1.042 eV/atom
# Electronic total energy ... -26.67 eV per formula unit

---

Entry 2:
# Tb3Mg (PBE-GGA, optimized geometry)
data_Tb3Mg
_cell_length_a 3.829
_cell_length_b 5.477
_cell_length_c 6.618
_cell_angle_alpha 114.44
_cell_angle_beta 106.82
_cell_angle_gamma 90.00
_symmetry_space_group_name_H-M 'P 1'
_symmetry_Int_Tables_number 1
loop_
_symmetry_equiv_pos_as_xyz
'x,y,z'
loop_
_atom_site_label
_atom_site_type_symbol
_atom_site_fract_x
_atom_site_fract_y
_atom_site_fract_z
_atom_site_occupancy
Mg1 Mg 0.000 0.919 0.000 1
Tb1 Tb 0.272 0.687 0.544 1
Tb2 Tb 0.500 0.418 0.000 1
Tb3 Tb 0.728 0.143 0.456 1
# Space group ... No. 44
# Density of states at the Fermi level ... 1.192 states/eV/atom
# Electronic total energy ... -15.56 eV per formula unit
# E_form ... -0.073 eV per formula unit